Tb4Pr4In | PBE-GGA | relaxed

Cell: 4.981 8.071 8.071 Å, 84.54 72.03 72.03°
Sites, in units of the cell vectors:
Tb: 0.664 0.336 0.336
Tb: 0.336 0.664 0.664
Tb: 0.000 0.664 0.336
Tb: 0.000 0.336 0.664
Pr: 0.662 0.677 0.000
Pr: 0.338 0.323 0.000
Pr: 0.661 0.000 0.677
Pr: 0.339 0.000 0.323
In: 0.000 0.000 0.000

Properties
M_tot = 0.0 μB per formula unit
Symmetry = I4/mmm (139)
Density of states at the Fermi level = 12.3 states/eV/cell
Energy of formation from the pure elements = -71 meV/atom